Compound: YThInPb
Source: the Alexandria database
Functional: GGA-PBE
Structure: relaxed

a b c (Å): 5.473 5.473 5.473
angles (deg): 60.00 60.00 60.00
Atoms (fractional coordinates):
Pb  0.250  0.250  0.250
Y  0.500  0.500  0.500
Th  0.000  0.000  0.000
In  0.750  0.750  0.750

Total moment in μB per cell: 0.0
DFT total energy in eV/atom: -5.372
Space group: F-43m, No. 216
Energy of formation from the pure elements in eV per atom: -0.289

Compound: Ac12CdNi5
Source: the Alexandria database
Functional: GGA-PBE
Structure: relaxed

a b c (Å): 9.198 9.198 9.198
angles (deg): 107.61 111.76 109.07
Atoms (fractional coordinates):
Ac  0.515  0.821  0.694
Ac  0.485  0.179  0.306
Ac  0.872  0.179  0.694
Ac  0.128  0.821  0.306
Ac  0.688  0.675  0.363
Ac  0.312  0.325  0.637
Ac  0.312  0.675  0.987
Ac  0.688  0.325  0.013
Ac  0.814  0.614  0.800
Ac  0.186  0.386  0.200
Ac  0.186  0.986  0.800
Ac  0.814  0.014  0.200
Cd  0.000  0.500  0.500
Ni  0.628  0.628  0.000
Ni  0.372  0.372  0.000
Ni  0.500  0.121  0.621
Ni  0.500  0.879  0.379
Ni  0.000  0.000  0.000

Total moment in μB per cell: 0.0
DFT total energy in eV/atom: -4.575
Space group: Immm, No. 71
Energy of formation from the pure elements in eV per atom: -0.179

Compound: Ac3Pm5Sm2
Source: the Alexandria database
Functional: GGA-PBE
Structure: relaxed

a b c (Å): 11.186 9.946 10.352
angles (deg): 118.71 122.70 90.00
Atoms (fractional coordinates):
Ac  0.250  0.000  0.000
Ac  0.750  0.000  0.000
Ac  0.625  0.371  0.249
Ac  0.375  0.629  0.751
Ac  0.125  0.878  0.249
Ac  0.875  0.122  0.751
Pm  0.250  0.500  0.000
Pm  0.750  0.500  0.000
Pm  0.993  0.743  0.487
Pm  0.507  0.257  0.513
Pm  0.007  0.257  0.513
Pm  0.493  0.743  0.487
Pm  0.881  0.478  0.762
Pm  0.119  0.522  0.238
Pm  0.381  0.284  0.762
Pm  0.619  0.716  0.238
Sm  0.860  0.759  0.721
Sm  0.140  0.241  0.279
Sm  0.360  0.961  0.721
Sm  0.640  0.039  0.279

Total moment in μB per cell: 0.0
DFT total energy in eV/atom: -4.223
Space group: Ibam, No. 72
Energy of formation from the pure elements in eV per atom: 0.329

Compound: Rb2Tl3HgAu4
Source: the Alexandria database
Functional: GGA-PBE
Structure: relaxed

a b c (Å): 5.101 5.101 11.615
angles (deg): 90.00 90.00 90.00
Atoms (fractional coordinates):
Rb  0.500  0.000  0.244
Rb  0.000  0.500  0.756
Tl  0.000  0.000  0.500
Tl  0.500  0.000  0.879
Tl  0.000  0.500  0.121
Hg  0.500  0.500  0.500
Au  0.500  0.500  0.000
Au  0.000  0.000  0.000
Au  0.500  0.000  0.631
Au  0.000  0.500  0.369

Total moment in μB per cell: 0.0
DFT total energy in eV/atom: -2.420
Space group: P-4m2, No. 115
Energy of formation from the pure elements in eV per atom: -0.175